Entry 1:
TlInRu PBE relaxed; ΔE_f = 0.5052 eV per atom
1.0
4.6149 0.0000 0.0000
-2.3074 3.9966 0.0000
0.0000 0.0000 3.4092
Tl In Ru
1 1 1
Cartesian
0.0000 0.0000 0.0000
2.3074 1.3322 1.7294
0.0000 2.6644 1.6357



Entry 2:
TlInRu2 PBE relaxed; ΔE_f = 0.5694 eV per atom
1.0
3.1734 0.0000 0.0000
0.0000 4.4530 0.0000
0.0000 0.0000 5.1540
Tl In Ru
1 1 2
Cartesian
0.0000 0.0000 0.0000
1.5867 0.0000 2.5770
0.0000 2.2265 2.5770
1.5867 2.2265 0.0000



Entry 3:
TlInRu PBE relaxed; ΔE_f = 0.3433 eV per atom
1.0
-1.6988 1.6988 5.3235
1.6988 -1.6988 5.3235
1.6988 1.6988 -5.3235
Tl In Ru
1 1 1
Cartesian
0.0000 0.0000 0.0000
0.0000 0.0000 7.5528
0.0000 0.0000 3.6177



Entry 4:
TlInRu2 PBE relaxed; ΔE_f = 0.4354 eV per atom
1.0
3.2337 0.0000 0.0000
0.0000 4.4154 0.0000
-1.6072 0.0000 5.2220
Tl In Ru
1 1 2
Cartesian
0.0000 0.0000 0.0000
1.6255 2.2077 1.8055
0.0154 0.0000 2.8422
0.0029 2.2077 4.1138



Entry 5:
TlInRu2 PBE relaxed; ΔE_f = 0.6802 eV per atom
1.0
0.0000 3.3081 3.3081
3.3081 0.0000 3.3081
3.3081 3.3081 0.0000
Tl In Ru
1 1 2
Cartesian
0.0000 0.0000 0.0000
4.9621 4.9621 4.9621
1.6540 1.6540 1.6540
3.3081 3.3081 3.3081



Entry 6:
Tl3InRu PBE relaxed; ΔE_f = 0.2924 eV per atom
1.0
5.3144 0.0000 0.0000
0.0000 5.3144 0.0000
0.0000 0.0000 5.3144
Tl In Ru
3 1 1
Cartesian
0.0000 0.0000 2.6572
0.0000 2.6572 0.0000
2.6572 0.0000 0.0000
2.6572 2.6572 2.6572
0.0000 0.0000 0.0000



Entry 7:
TlIn2Ru PBE relaxed; ΔE_f = 0.1196 eV per atom
1.0
-1.5510 2.2628 6.7884
1.5510 -2.2628 6.7884
1.5510 2.2628 -6.7884
Tl In Ru
1 2 1
Cartesian
0.0000 0.0000 0.0000
1.5510 0.0000 4.3123
0.0000 0.0000 8.7250
0.0000 2.2628 4.2346



Entry 8:
TlInRu2 PBE relaxed; ΔE_f = 0.4926 eV per atom
1.0
1.5596 0.9004 8.5764
-1.5596 0.9004 8.5764
0.0000 -1.8008 8.5764
Tl In Ru
1 1 2
Cartesian
0.0000 0.0000 0.0000
0.0000 0.0000 12.8646
0.0000 0.0000 6.3999
0.0000 0.0000 19.3292



Entry 9:
TlIn2Ru PBE relaxed; ΔE_f = 0.3992 eV per atom
1.0
2.9332 -4.2275 0.0000
2.9332 4.2275 0.0000
-0.0187 0.0000 3.3867
Tl In Ru
1 2 1
Cartesian
0.0000 0.0000 0.0000
1.4573 2.1137 1.6933
1.4573 -2.1137 1.6933
2.9332 0.0000 0.0000



Entry 10:
TlIn2Ru PBE relaxed; ΔE_f = 0.4880 eV per atom
1.0
0.0000 3.5135 3.5135
3.5135 0.0000 3.5135
3.5135 3.5135 0.0000
Tl In Ru
1 2 1
Cartesian
0.0000 0.0000 0.0000
1.7568 1.7568 1.7568
5.2703 5.2703 5.2703
3.5135 3.5135 3.5135



Entry 11:
TlIn2Ru PBE relaxed; ΔE_f = 0.1955 eV per atom
1.0
1.6708 0.9647 9.4182
-1.6708 0.9647 9.4182
0.0000 -1.9293 9.4182
Tl In Ru
1 2 1
Cartesian
0.0000 0.0000 0.0000
0.0000 0.0000 6.6449
0.0000 0.0000 21.6099
0.0000 0.0000 14.1274



Entry 12:
TlInRu PBE relaxed; ΔE_f = 0.4153 eV per atom
1.0
3.2445 0.0000 0.0000
-1.6222 2.8098 0.0000
0.0000 0.0000 6.9466
Tl In Ru
1 1 1
Cartesian
0.0000 0.0000 0.0000
1.6222 0.9366 2.7857
0.0000 1.8732 4.7832



Number 1: density of states at the Fermi level 0.60 states/eV/atom, size of the total moment 0.000 μB per atom. Number 2: density of states at the Fermi level 0.95 states/eV/atom, size of the total moment 0.000 μB per atom. Number 3: density of states at the Fermi level 0.50 states/eV/atom, size of the total moment 0.000 μB per atom. Number 4: density of states at the Fermi level 1.10 states/eV/atom, size of the total moment 0.125 μB per atom. Number 5: density of states at the Fermi level 0.97 states/eV/atom, size of the total moment 0.537 μB per atom. Number 6: density of states at the Fermi level 0.69 states/eV/atom, size of the total moment 0.000 μB per atom. Number 7: density of states at the Fermi level 0.55 states/eV/atom, size of the total moment 0.000 μB per atom. Number 8: density of states at the Fermi level 1.26 states/eV/atom, size of the total moment 0.132 μB per atom. Number 9: density of states at the Fermi level 0.65 states/eV/atom, size of the total moment 0.000 μB per atom. Number 10: density of states at the Fermi level 0.73 states/eV/atom, size of the total moment 0.000 μB per atom. Number 11: density of states at the Fermi level 0.80 states/eV/atom, size of the total moment 0.000 μB per atom. Number 12: density of states at the Fermi level 1.23 states/eV/atom, size of the total moment 0.001 μB per atom.